# 1
# B7C5 (GGA-PBE, optimized geometry)
data_B7C5
_space_group_name_H-M_alt 'C 1 m 1'
_space_group_IT_number 8
_space_group_name_Hall 'C -2y'
_cell_length_a 9.285
_cell_length_b 2.587
_cell_length_c 8.015
_cell_angle_alpha 90.00
_cell_angle_beta 114.99
_cell_angle_gamma 90.00
loop_
_atom_site_label
_atom_site_fract_x
_atom_site_fract_y
_atom_site_fract_z
B1 0.000 0.000 0.000
B2 0.010 0.500 0.838
B3 0.022 0.500 0.338
B4 0.147 0.000 0.224
B5 0.212 0.000 0.721
B6 0.374 0.000 0.112
B7 0.466 0.500 0.450
C1 0.175 0.500 0.813
C2 0.197 0.500 0.338
C3 0.318 0.500 0.997
C4 0.340 0.000 0.640
C5 0.341 0.500 0.533
# Spin magnetization = 0.00 μB/cell
# V = 174 Å³/cell
# Calculated formation energy = 5.2 eV per formula unit
# Final energy = -87.63 eV/f.u.
# Theoretical density = 2.6 Mg/m³

# 2
# B7C5 (GGA-PBE, optimized geometry)
data_B7C5
_space_group_name_H-M_alt 'P 1 m 1'
_space_group_IT_number 6
_space_group_name_Hall 'P -2y'
_cell_length_a 4.979
_cell_length_b 2.517
_cell_length_c 6.763
_cell_angle_alpha 90.00
_cell_angle_beta 96.93
_cell_angle_gamma 90.00
loop_
_atom_site_label
_atom_site_fract_x
_atom_site_fract_y
_atom_site_fract_z
B1 0.000 0.000 0.000
B2 0.019 0.000 0.720
B3 0.242 0.500 0.632
B4 0.373 0.000 0.082
B5 0.569 0.500 0.964
B6 0.689 0.000 0.411
B7 0.906 0.500 0.303
C1 0.224 0.500 0.391
C2 0.354 0.000 0.320
C3 0.553 0.500 0.723
C4 0.697 0.000 0.666
C5 0.872 0.500 0.067
# Spin magnetization = 0.00 μB/cell
# V = 84 Å³/cell
# Calculated formation energy = 4.9 eV per formula unit
# Final energy = -87.95 eV/f.u.
# Theoretical density = 2.7 Mg/m³

# 3
# B3C (GGA-PBE, optimized geometry)
data_B3C
_space_group_name_H-M_alt 'P 3 m 1'
_space_group_IT_number 156
_space_group_name_Hall 'P 3 -2"'
_cell_length_a 2.7365
_cell_length_b 2.7365
_cell_length_c 14.4346
_cell_angle_alpha 90.00
_cell_angle_beta 90.00
_cell_angle_gamma 120.00
loop_
_atom_site_label
_atom_site_fract_x
_atom_site_fract_y
_atom_site_fract_z
B1 0.0000 0.0000 0.0000
B2 0.0000 0.0000 0.1168
B3 0.0000 0.0000 0.3756
B4 0.0000 0.0000 0.6528
B5 0.3333 0.6667 0.0704
B6 0.3333 0.6667 0.1878
B7 0.3333 0.6667 0.7795
B8 0.6667 0.3333 0.2586
B9 0.6667 0.3333 0.9279
C1 0.3333 0.6667 0.6629
C2 0.6667 0.3333 0.3674
C3 0.6667 0.3333 0.8230
# Spin magnetization = 0.00 μB/cell
# V = 94 Å³/cell
# Calculated formation energy = 1.5 eV per formula unit
# Final energy = -27.76 eV/f.u.
# Theoretical density = 2.4 Mg/m³

# 4
# B7C5 (GGA-PBE, optimized geometry)
data_B7C5
_space_group_name_H-M_alt 'C 1 m 1'
_space_group_IT_number 8
_space_group_name_Hall 'C -2y'
_cell_length_a 13.546
_cell_length_b 2.586
_cell_length_c 4.992
_cell_angle_alpha 90.00
_cell_angle_beta 103.73
_cell_angle_gamma 90.00
loop_
_atom_site_label
_atom_site_fract_x
_atom_site_fract_y
_atom_site_fract_z
B1 0.000 0.000 0.000
B2 0.028 0.000 0.436
B3 0.094 0.000 0.789
B4 0.128 0.000 0.210
B5 0.181 0.500 0.920
B6 0.296 0.500 0.532
B7 0.426 0.000 0.410
C1 0.201 0.500 0.274
C2 0.290 0.500 0.081
C3 0.353 0.000 0.115
C4 0.360 0.000 0.634
C5 0.424 0.000 0.922
# Spin magnetization = 0.00 μB/cell
# V = 170 Å³/cell
# Calculated formation energy = 5.0 eV per formula unit
# Final energy = -87.83 eV/f.u.
# Theoretical density = 2.7 Mg/m³

| no. | E above lowest polymorph (meV/atom) |
| --- | --- |
| 1 | 271.8 |
| 2 | 244.9 |
| 3 | 133.7 |
| 4 | 254.8 |